Entry from Alexandria: crystalline BaCd2GaGe2 at its relaxed geometry (GGA-PBE).

a b c (Å): 5.841 11.594 4.856
angles (deg): 90.00 90.00 90.00
Space group Pnnm (No. 58)
Unique sites:
1 Ba 0.000 0.000 0.000 x2
2 Cd 0.217 0.211 0.500 x4
3 Ga 0.000 0.500 0.000 x2
4 Ge 0.235 0.324 0.000 x4

**ΔH_f (0 K)**: -0.17 eV/atom
**M_tot**: 0.000 μB/atom
**ρ**: 5.829 g/cm3
**Final energy**: -2.84 eV/atom